{
  "formula": "Pa2Mn3CrN6",
  "functional": "PBE",
  "state": "relaxed",
  "lattice": [[5.655, -0.107, 0.031], [-2.919, 4.845, 0.031], [-0.890, -1.541, 4.914]],
  "species": ["Pa", "Pa", "Mn", "Mn", "Mn", "Cr", "N", "N", "N", "N", "N", "N"],
  "fractional_positions": [[0.329, 0.671, 0.000], [0.671, 0.329, 0.000], [0.143, 0.857, 0.500], [0.857, 0.143, 0.500], [0.500, 0.500, 0.500], [0.000, 0.000, 0.000], [0.906, 0.609, 0.725], [0.758, 0.758, 0.248], [0.094, 0.391, 0.275], [0.609, 0.906, 0.725], [0.242, 0.242, 0.752], [0.391, 0.094, 0.275]],
  "e_tot_ev_per_fu": -114.43,
  "spacegroup": "C2/m, No. 12",
  "e_form_raw_ev_per_atom": -0.6961,
  "n_ef_per_ev_fu": 5.29
}